(1)
VASP calculation (PBE) on an optimized crystal structure of TmIn2Ni.

The space group is P4/mmm (No. 123) and the conventional cell measures 3.3003, 3.3003 and 7.4982 Å, with angles of 90.00, 90.00 and 90.00 degrees. The inequivalent atoms are Tm at (0.0000, 0.0000, 0.0000), In at (0.5000, 0.5000, 0.2989) and Ni at (0.0000, 0.0000, 0.5000).

The calculation puts the formation energy at -0.24 eV per atom. As for the density of states at the Fermi level: 2.90 states/eV/f.u.


(2)
VASP calculation (PBE) on an optimized crystal structure of AsPIrCl2.

The space group is P4/mmm (No. 123) and the conventional cell measures 4.7639, 4.7639 and 4.6433 Å, with angles of 90.00, 90.00 and 90.00 degrees. The inequivalent atoms are As at (0.0000, 0.0000, 0.0000), P at (0.5000, 0.5000, 0.0000), Ir at (0.5000, 0.5000, 0.5000) and Cl at (0.0000, 0.5000, 0.5000).

The value obtained for the energy above the most stable polymorph in this dataset is 0 meV/atom. As for the density of states at the Fermi level: 3.69 states/eV/f.u. The energy relative to the elements, uncorrected comes out at 571 meV/atom.


(3)
VASP calculation (PBE) on an optimized crystal structure of La2TlTe.

The space group is I-4m2 (No. 119) and the conventional cell measures 4.6749, 4.6749 and 11.4832 Å, with angles of 90.00, 90.00 and 90.00 degrees. The inequivalent atoms are La at (0.0000, 0.0000, 0.0000), La at (0.0000, 0.5000, 0.2500), Tl at (0.0000, 0.0000, 0.5000) and Te at (0.0000, 0.5000, 0.7500).

The value obtained for the energy above the most stable polymorph in this dataset is 248 meV/atom. As for the density of states at the Fermi level: 3.46 states/eV/f.u. The energy relative to the elements, uncorrected comes out at -756 meV/atom.


(4)
VASP calculation (PBE) on an optimized crystal structure of Rb2H5Rh.

The space group is Cm (No. 8) and the conventional cell measures 7.8084, 8.7472 and 5.8516 Å, with angles of 90.00, 131.59 and 90.00 degrees. The inequivalent atoms are Rb at (0.0000, 0.2494, 0.0000), H at (0.0016, 0.3073, 0.5001), H at (0.1932, 0.5000, 0.4977), H at (0.1937, 0.5000, 0.8852), H at (0.3093, 0.0000, 0.1149) and Rh at (0.4985, 0.0000, 0.5000).


no.,electronic total energy (eV per atom)
1,-4.169
2,-3.952
3,-4.597
4,-3.458